# 1
Compound: YNiHgP2
Source: Alexandria
Functional: PBE-GGA
Structure: relaxed

Density of states at the Fermi level ... 3.00 states/eV/f.u.
Energy relative to the elements ... -0.0998 eV per atom

abc: 4.5248 4.8465 4.5248
angles: 90.00 90.00 90.00
Sites, in units of the cell vectors:
Y1 0.5000 0.5000 0.5000
Ni1 0.0000 0.0000 0.0000
Hg1 0.0000 0.5000 0.0000
P1 0.0000 0.0000 0.5000
P2 0.5000 0.0000 0.0000


# 2
Compound: PaNi2Hg
Source: Alexandria
Functional: PBE-GGA
Structure: relaxed

Density of states at the Fermi level ... 3.11 states/eV/f.u.
Relative energy among the computed polymorphs ... 351 meV/atom
Energy relative to the elements ... 0.1901 eV per atom

abc: 3.5184 3.5184 8.7025
angles: 78.34 78.34 60.00
Sites, in units of the cell vectors:
Ni1 0.1024 0.1024 0.6928
Ni2 0.8976 0.8976 0.3072
Pa1 0.5000 0.5000 0.5000
Hg1 0.0000 0.0000 0.0000


# 3
Compound: PaNi2Hg
Source: Alexandria
Functional: PBE-GGA
Structure: relaxed

Density of states at the Fermi level ... 3.25 states/eV/f.u.
Relative energy among the computed polymorphs ... 58 meV/atom
Energy relative to the elements ... -0.1029 eV per atom

abc: 3.1669 3.1669 6.8575
angles: 90.00 90.00 90.00
Sites, in units of the cell vectors:
Ni1 0.0000 0.0000 0.7413
Ni2 0.0000 0.0000 0.2587
Pa1 0.5000 0.5000 0.0000
Hg1 0.5000 0.5000 0.5000


# 4
Compound: Pa2NiHg
Source: Alexandria
Functional: PBE-GGA
Structure: relaxed

Density of states at the Fermi level ... 6.43 states/eV/f.u.
Relative energy among the computed polymorphs ... 0 meV/atom
Energy relative to the elements ... -0.1097 eV per atom

abc: 3.1393 3.1393 8.5894
angles: 90.00 90.00 90.00
Sites, in units of the cell vectors:
Ni1 0.5000 0.5000 0.0000
Pa1 0.0000 0.0000 0.7869
Pa2 0.0000 0.0000 0.2131
Hg1 0.5000 0.5000 0.5000


# 5
Compound: Pa2Ni9Hg
Source: Alexandria
Functional: PBE-GGA
Structure: relaxed

Density of states at the Fermi level ... 13.03 states/eV/f.u.
Energy relative to the elements ... -0.2210 eV per atom

abc: 4.8906 4.8906 8.6441
angles: 73.57 73.57 60.00
Sites, in units of the cell vectors:
Pa1 0.8647 0.8647 0.4060
Pa2 0.1353 0.1353 0.5940
Ni1 0.6673 0.6673 0.9982
Ni2 0.3327 0.3327 0.0018
Ni3 0.5000 0.5000 0.5000
Ni4 0.4151 0.4151 0.2517
Ni5 0.9180 0.4151 0.2517
Ni6 0.4151 0.9180 0.2517
Ni7 0.5849 0.5849 0.7483
Ni8 0.5849 0.0820 0.7483
Ni9 0.0820 0.5849 0.7483
Hg1 0.0000 0.0000 0.0000


# 6
Compound: Pa2NiHg
Source: Alexandria
Functional: PBE-GGA
Structure: relaxed

Density of states at the Fermi level ... 6.16 states/eV/f.u.
Relative energy among the computed polymorphs ... 307 meV/atom
Energy relative to the elements ... 0.1971 eV per atom

abc: 3.2543 3.2543 10.7021
angles: 81.25 81.25 60.00
Sites, in units of the cell vectors:
Ni1 0.5000 0.5000 0.5000
Pa1 0.1038 0.1038 0.6887
Pa2 0.8962 0.8962 0.3113
Hg1 0.0000 0.0000 0.0000


# 7
Compound: PaNi2Hg
Source: Alexandria
Functional: PBE-GGA
Structure: relaxed

Density of states at the Fermi level ... 3.85 states/eV/f.u.
Relative energy among the computed polymorphs ... 0 meV/atom
Energy relative to the elements ... -0.1613 eV per atom

abc: 4.6256 4.6256 4.6256
angles: 60.00 60.00 60.00
Sites, in units of the cell vectors:
Ni1 0.2500 0.2500 0.2500
Ni2 0.7500 0.7500 0.7500
Pa1 0.0000 0.0000 0.0000
Hg1 0.5000 0.5000 0.5000


# 8
Compound: PaNiHgPd
Source: Alexandria
Functional: PBE-GGA
Structure: relaxed

Density of states at the Fermi level ... 3.70 states/eV/f.u.
Energy relative to the elements ... -0.2664 eV per atom

abc: 4.7501 4.7501 4.7501
angles: 60.00 60.00 60.00
Sites, in units of the cell vectors:
Ni1 0.2500 0.2500 0.2500
Pa1 0.0000 0.0000 0.0000
Hg1 0.5000 0.5000 0.5000
Pd1 0.7500 0.7500 0.7500


# 9
Compound: PaNiHgRh
Source: Alexandria
Functional: PBE-GGA
Structure: relaxed

Density of states at the Fermi level ... 4.35 states/eV/f.u.
Energy relative to the elements ... -0.2951 eV per atom

abc: 4.7067 4.7067 4.7067
angles: 60.00 60.00 60.00
Sites, in units of the cell vectors:
Ni1 0.2500 0.2500 0.2500
Pa1 0.5000 0.5000 0.5000
Rh1 0.7500 0.7500 0.7500
Hg1 0.0000 0.0000 0.0000


# 10
Compound: PaNiHgS4
Source: Alexandria
Functional: PBE-GGA
Structure: relaxed

Density of states at the Fermi level ... 6.10 states/eV/f.u.
Uncorrected formation energy ... -777 meV per atom

abc: 6.6555 5.3995 9.3368
angles: 90.00 109.99 90.00
Last column: magnetic moment on the atom in μB.
Sites, in units of the cell vectors:
Pa1 0.7357 0.7500 0.4509  0.01
Pa2 0.2643 0.2500 0.5491  0.01
Ni1 0.2250 0.7500 0.3300  0.16
Ni2 0.7750 0.2500 0.6700  0.16
Hg1 0.6024 0.7500 0.9177  0.00
Hg2 0.3976 0.2500 0.0823  0.00
S1 0.0365 0.5127 0.6983  0.01
S2 0.9635 0.0127 0.3017  0.01
S3 0.9635 0.4873 0.3017  0.01
S4 0.0365 0.9873 0.6983  0.01
S5 0.4046 0.7500 0.1719  0.01
S6 0.5954 0.2500 0.8281  0.01
S7 0.4216 0.7500 0.5741  0.01
S8 0.5784 0.2500 0.4259  0.01


# 11
Compound: Pa2Ni2HgS6
Source: Alexandria
Functional: PBE-GGA
Structure: relaxed

Density of states at the Fermi level ... 7.67 states/eV/f.u.
Uncorrected formation energy ... -910 meV per atom

abc: 7.0651 7.6090 7.8829
angles: 124.45 89.92 62.42
Last column: magnetic moment on the atom in μB.
Sites, in units of the cell vectors:
Pa1 0.8353 0.3296 0.8336  0.03
Pa2 0.1647 0.6704 0.1664  0.03
Ni1 0.1175 0.7681 0.8188  0.72
Ni2 0.8825 0.2319 0.1812  0.72
Hg1 0.5000 0.0000 0.5000  0.01
S1 0.4112 0.6797 0.9205  0.05
S2 0.0871 0.3235 0.0825  0.05
S3 0.0951 0.8123 0.5700  0.04
S4 0.9129 0.6765 0.9175  0.05
S5 0.9049 0.1877 0.4300  0.04
S6 0.5888 0.3203 0.0795  0.05


# 12
Compound: PaNiHgSe3
Source: Alexandria
Functional: PBE-GGA
Structure: relaxed

Density of states at the Fermi level ... 4.37 states/eV/f.u.
Uncorrected formation energy ... -794 meV per atom

abc: 4.0408 10.7199 10.2424
angles: 119.47 90.00 90.00
Sites, in units of the cell vectors:
Pa1 0.2500 0.6880 0.1688
Pa2 0.7500 0.3120 0.8312
Ni1 0.2500 0.0853 0.5832
Ni2 0.7500 0.9147 0.4168
Hg1 0.2500 0.2183 0.2410
Hg2 0.7500 0.7817 0.7590
Se1 0.7500 0.8536 0.1527
Se2 0.2500 0.1464 0.8473
Se3 0.2500 0.8334 0.4785
Se4 0.7500 0.1666 0.5215
Se5 0.7500 0.4919 0.1530
Se6 0.2500 0.5081 0.8470


# 13
Compound: PaNiHgTe3
Source: Alexandria
Functional: PBE-GGA
Structure: relaxed

Density of states at the Fermi level ... 5.20 states/eV/f.u.
Uncorrected formation energy ... -466 meV per atom

abc: 4.0967 10.5598 10.3054
angles: 115.87 90.00 90.00
Sites, in units of the cell vectors:
Pa1 0.2500 0.6909 0.1689
Pa2 0.7500 0.3091 0.8311
Ni1 0.2500 0.1007 0.6155
Ni2 0.7500 0.8993 0.3845
Hg1 0.7500 0.7832 0.7547
Hg2 0.2500 0.2168 0.2453
Te1 0.2500 0.8319 0.4925
Te2 0.7500 0.8751 0.1241
Te3 0.7500 0.4713 0.1652
Te4 0.7500 0.1681 0.5075
Te5 0.2500 0.5287 0.8348
Te6 0.2500 0.1249 0.8759


# 14
Compound: Ni2HgPb
Source: Alexandria
Functional: PBE-GGA
Structure: relaxed

Density of states at the Fermi level ... 2.27 states/eV/f.u.
Relative energy among the computed polymorphs ... 58 meV/atom
Energy relative to the elements ... 0.2622 eV per atom

abc: 4.5770 4.5770 4.5770
angles: 60.00 60.00 60.00
Sites, in units of the cell vectors:
Pb1 0.5000 0.5000 0.5000
Ni1 0.2500 0.2500 0.2500
Ni2 0.7500 0.7500 0.7500
Hg1 0.0000 0.0000 0.0000


| no. | volume (Å³/cell) |
| --- | --- |
| 1 | 99.2 |
| 2 | 90.7 |
| 3 | 68.8 |
| 4 | 84.6 |
| 5 | 169.2 |
| 6 | 96.6 |
| 7 | 70.0 |
| 8 | 75.8 |
| 9 | 73.7 |
| 10 | 315.3 |
| 11 | 289.0 |
| 12 | 386.3 |
| 13 | 401.2 |
| 14 | 67.8 |